(1)
Sm5Ho2In2: optimized geometry, PBE.

Space group: Ima2
Formation energy from the elements: -0.46 eV/f.u.

Cell: 10.598 6.601 10.176 Å, 108.93 121.38 90.00°
Fractional positions:
Ho: 0.767 0.934 0.500
Sm: 0.134 0.938 0.500
In: 0.884 0.364 0.824
Sm: 0.202 0.138 0.888
In: 0.116 0.540 0.176
Sm: 0.458 0.487 0.301
Ho: 0.500 0.499 0.000
Ho: 0.000 0.999 0.000
Sm: 0.343 0.987 0.301
Sm: 0.814 0.750 0.112
Sm: 0.798 0.250 0.112
In: 0.440 0.864 0.824
Sm: 0.866 0.438 0.500
Ho: 0.233 0.434 0.500
Sm: 0.657 0.686 0.699
In: 0.560 0.040 0.176
Sm: 0.542 0.186 0.699
Sm: 0.186 0.638 0.888

---

(2)
MnRu2Pt: optimized geometry, PBE.

Space group: I4/mmm
Formation energy from the elements: 0.04 eV/f.u.

Cell: 4.693 4.693 4.693 Å, 132.15 132.15 70.00°
Fractional positions:
Mn: 0.250 0.750 0.500
Ru: 0.500 0.500 0.000
Pt: 0.750 0.250 0.500
Ru: 0.000 0.000 0.000

---

(3)
Cd2SiSe: optimized geometry, PBE.

Space group: Fm-3m
Energy above the lowest structure with this stoichiometry: 333 meV/atom
Formation energy without anion corrections: 159 kJ/mol of formula units

Cell: 4.961 4.961 4.961 Å, 60.00 60.00 60.00°
Fractional positions:
Se: 0.500 0.500 0.500
Cd: 0.250 0.250 0.250
Cd: 0.750 0.750 0.750
Si: 0.000 0.000 0.000

---

(4)
Na2Cu2Cl7: optimized geometry, PBE.

Space group: C2/m
Formation energy without anion corrections: -909 kJ/mol of formula units

Cell: 7.370 6.806 6.806 Å, 106.29 86.48 86.48°
Fractional positions:
Cl: 0.747 0.017 0.410
Cl: 0.000 0.000 0.000
Cl: 0.253 0.983 0.590
Cl: 0.747 0.410 0.017
Cu: 0.802 0.234 0.234
Cl: 0.253 0.590 0.983
Cl: 0.258 0.494 0.494
Na: 0.500 0.705 0.295
Na: 0.500 0.295 0.705
Cu: 0.198 0.766 0.766
Cl: 0.742 0.506 0.506

---

For the records above, the corresponding calculated volume values read 562.2; 55.7; 86.3; 326.0 Å³/cell.
For the records above, the corresponding density of states at the Fermi level values read 22.29; 5.36; 5.25; 5.08 states/eV per cell.
For the records above, the corresponding total magnetic moment values read 0.00; 1.79; 0.00; 0.58 μB per cell.